! PBE-GGA La4InIr, optimized geometry; values from VASP
&SYSTEM
  ibrav = 0, nat = 24, ntyp = 3
/
ATOMIC_SPECIES
La 138.91 La.upf
In 114.82 In.upf
Ir 192.22 Ir.upf
CELL_PARAMETERS angstrom
2.497 -6.563 7.305
-1.337 -9.940 -1.446
8.026 -6.074 -1.172
ATOMIC_POSITIONS crystal
La 0.191 0.191 0.809
La 0.942 0.942 0.558
La 0.558 0.558 0.942
La 0.809 0.191 0.191
In 0.170 0.491 0.170
Ir 0.609 0.173 0.609
La 0.402 0.793 0.402
La 0.191 0.809 0.191
Ir 0.173 0.609 0.609
In 0.491 0.170 0.170
Ir 0.609 0.609 0.609
La 0.809 0.191 0.809
La 0.191 0.809 0.809
La 0.402 0.402 0.793
Ir 0.609 0.609 0.173
In 0.170 0.170 0.170
La 0.809 0.809 0.191
La 0.402 0.402 0.402
La 0.558 0.942 0.942
La 0.942 0.558 0.558
La 0.793 0.402 0.402
In 0.170 0.170 0.491
La 0.558 0.942 0.558
La 0.942 0.558 0.942
! M_tot (Bohr magnetons per cell): 0.00
! ρ (kg/m3): 7788
! Polymorph energy (0 for the lowest one) (eV/atom): 0.0000
! DOS(E_F) (states/eV per cell): 24.80
! ΔE_f (eV/atom): -0.5271